# LiTc3Pb | the Alexandria database | PBE-GGA | optimized geometry
# DOS(E_F), states/eV/f.u.: 3.653
# M_tot, μB per formula unit: 7.872
# Energy relative to the elements, eV per atom: 2.287
data_LiTc3Pb
_symmetry_space_group_name_H-M 'P m -3 m'
_symmetry_Int_Tables_number 221
_symmetry_space_group_name_Hall '-P 4 2 3'
_cell_length_a 5.1696
_cell_length_b 5.1696
_cell_length_c 5.1696
_cell_angle_alpha 90.00
_cell_angle_beta 90.00
_cell_angle_gamma 90.00
loop_
_atom_site_label
_atom_site_type_symbol
_atom_site_fract_x
_atom_site_fract_y
_atom_site_fract_z
Li1 Li 0.0000 0.0000 0.0000
Tc1 Tc 0.0000 0.5000 0.5000
Pb1 Pb 0.5000 0.5000 0.5000


# LiTcPb4 | the Alexandria database | PBE-GGA | optimized geometry
# DOS(E_F), states/eV/f.u.: 3.876
# M_tot, μB per formula unit: 3.543
# Energy relative to the elements, eV per atom: 0.730
data_LiTcPb4
_symmetry_space_group_name_H-M 'F -4 3 m'
_symmetry_Int_Tables_number 216
_symmetry_space_group_name_Hall 'F -4 2 3'
_cell_length_a 8.9779
_cell_length_b 8.9779
_cell_length_c 8.9779
_cell_angle_alpha 90.00
_cell_angle_beta 90.00
_cell_angle_gamma 90.00
loop_
_atom_site_label
_atom_site_type_symbol
_atom_site_fract_x
_atom_site_fract_y
_atom_site_fract_z
Li1 Li 0.0000 0.0000 0.0000
Tc1 Tc 0.2500 0.2500 0.2500
Pb1 Pb 0.1244 0.1244 0.6244


# LiTcPb | the Alexandria database | PBE-GGA | optimized geometry
# DOS(E_F), states/eV/f.u.: 4.444
# Offset from the most stable computed form, eV/f.u.: 0.89
# M_tot, μB per formula unit: 1.100
# Energy relative to the elements, eV per atom: 0.723
data_LiTcPb
_symmetry_space_group_name_H-M 'F -4 3 m'
_symmetry_Int_Tables_number 216
_symmetry_space_group_name_Hall 'F -4 2 3'
_cell_length_a 6.3515
_cell_length_b 6.3515
_cell_length_c 6.3515
_cell_angle_alpha 90.00
_cell_angle_beta 90.00
_cell_angle_gamma 90.00
loop_
_atom_site_label
_atom_site_type_symbol
_atom_site_fract_x
_atom_site_fract_y
_atom_site_fract_z
Li1 Li 0.0000 0.0000 0.0000
Tc1 Tc 0.0000 0.0000 0.5000
Pb1 Pb 0.2500 0.2500 0.2500


# LiTcPb | the Alexandria database | PBE-GGA | optimized geometry
# DOS(E_F), states/eV/f.u.: 2.447
# Offset from the most stable computed form, eV/f.u.: 0.08
# M_tot, μB per formula unit: 0.000
# Energy relative to the elements, eV per atom: 0.451
data_LiTcPb
_symmetry_space_group_name_H-M 'I m m 2'
_symmetry_Int_Tables_number 44
_symmetry_space_group_name_Hall 'I 2 -2'
_cell_length_a 2.9151
_cell_length_b 4.2731
_cell_length_c 8.5524
_cell_angle_alpha 90.00
_cell_angle_beta 90.00
_cell_angle_gamma 90.00
loop_
_atom_site_label
_atom_site_type_symbol
_atom_site_fract_x
_atom_site_fract_y
_atom_site_fract_z
Li1 Li 0.0000 0.0000 0.0000
Tc1 Tc 0.0000 0.0000 0.3397
Pb1 Pb 0.0000 0.0000 0.6745


# LiZrTcPb2 | the Alexandria database | PBE-GGA | optimized geometry
# DOS(E_F), states/eV/f.u.: 4.251
# M_tot, μB per formula unit: 1.541
# Energy relative to the elements, eV per atom: 0.807
data_LiZrTcPb2
_symmetry_space_group_name_H-M 'P 4/m m m'
_symmetry_Int_Tables_number 123
_symmetry_space_group_name_Hall '-P 4 2'
_cell_length_a 5.7451
_cell_length_b 5.7451
_cell_length_c 4.8293
_cell_angle_alpha 90.00
_cell_angle_beta 90.00
_cell_angle_gamma 90.00
loop_
_atom_site_label
_atom_site_type_symbol
_atom_site_fract_x
_atom_site_fract_y
_atom_site_fract_z
Li1 Li 0.0000 0.0000 0.0000
Zr1 Zr 0.5000 0.5000 0.5000
Tc1 Tc 0.5000 0.5000 0.0000
Pb1 Pb 0.0000 0.5000 0.5000


# LiTePb | the Alexandria database | PBE-GGA | optimized geometry
# DOS(E_F), states/eV/f.u.: 2.400
# Offset from the most stable computed form, eV/f.u.: 0.27
# Uncorrected formation energy, eV/f.u.: -1.0
# M_tot, μB per formula unit: 0.000
data_LiTePb
_symmetry_space_group_name_H-M 'F -4 3 m'
_symmetry_Int_Tables_number 216
_symmetry_space_group_name_Hall 'F -4 2 3'
_cell_length_a 6.9310
_cell_length_b 6.9310
_cell_length_c 6.9310
_cell_angle_alpha 90.00
_cell_angle_beta 90.00
_cell_angle_gamma 90.00
loop_
_atom_site_label
_atom_site_type_symbol
_atom_site_fract_x
_atom_site_fract_y
_atom_site_fract_z
Li1 Li 0.0000 0.0000 0.0000
Te1 Te 0.2500 0.2500 0.2500
Pb1 Pb 0.2500 0.2500 0.7500


Repeat the fourth record exactly.
# LiTcPb | the Alexandria database | PBE-GGA | optimized geometry
# DOS(E_F), states/eV/f.u.: 2.447
# Offset from the most stable computed form, eV/f.u.: 0.08
# M_tot, μB per formula unit: 0.000
# Energy relative to the elements, eV per atom: 0.451
data_LiTcPb
_symmetry_space_group_name_H-M 'I m m 2'
_symmetry_Int_Tables_number 44
_symmetry_space_group_name_Hall 'I 2 -2'
_cell_length_a 2.9151
_cell_length_b 4.2731
_cell_length_c 8.5524
_cell_angle_alpha 90.00
_cell_angle_beta 90.00
_cell_angle_gamma 90.00
loop_
_atom_site_label
_atom_site_type_symbol
_atom_site_fract_x
_atom_site_fract_y
_atom_site_fract_z
Li1 Li 0.0000 0.0000 0.0000
Tc1 Tc 0.0000 0.0000 0.3397
Pb1 Pb 0.0000 0.0000 0.6745


Question: Among the records above, which one has the highest DOS(E_F)?
Answer: number 3


What did the first record say?
# LiTc3Pb | the Alexandria database | PBE-GGA | optimized geometry
# DOS(E_F), states/eV/f.u.: 3.653
# M_tot, μB per formula unit: 7.872
# Energy relative to the elements, eV per atom: 2.287
data_LiTc3Pb
_symmetry_space_group_name_H-M 'P m -3 m'
_symmetry_Int_Tables_number 221
_symmetry_space_group_name_Hall '-P 4 2 3'
_cell_length_a 5.1696
_cell_length_b 5.1696
_cell_length_c 5.1696
_cell_angle_alpha 90.00
_cell_angle_beta 90.00
_cell_angle_gamma 90.00
loop_
_atom_site_label
_atom_site_type_symbol
_atom_site_fract_x
_atom_site_fract_y
_atom_site_fract_z
Li1 Li 0.0000 0.0000 0.0000
Tc1 Tc 0.0000 0.5000 0.5000
Pb1 Pb 0.5000 0.5000 0.5000


Question: The lowest DOS(E_F) belongs to which entry?
Answer: LiTePb